Record 1
An optimized crystal structure of Ac2SbPt2, computed with GGA-PBE.

It has space group P4/mbm (No. 127), with a = 8.006 Å, b = 8.006 Å, c = 4.229 Å, α = 90.00°, β = 90.00° and γ = 90.00°. Symmetry generates all atoms from Ac at (0.178, 0.322, 0.000), Sb at (0.000, 0.000, 0.500) and Pt at (0.125, 0.625, 0.500).

For the density of states at the Fermi level, the calculation gives 0.59 states/eV per atom. The uncorrected formation energy comes out at -1103 meV/atom. The total DFT energy (no corrections) is -5.987 eV/atom.

=====

Record 2
An optimized crystal structure of Ho6Sn2Os, computed with GGA-PBE.

It has space group Immm (No. 71), with a = 5.059 Å, b = 7.142 Å, c = 14.961 Å, α = 90.00°, β = 90.00° and γ = 90.00°. Symmetry generates all atoms from Ho at (0.000, 0.225, 0.000), Ho at (0.000, 0.261, 0.349), Sn at (0.000, 0.500, 0.172) and Os at (0.000, 0.500, 0.500).

For the density of states at the Fermi level, the calculation gives 0.66 states/eV per atom. The total DFT energy (no corrections) is -5.548 eV/atom. The value obtained for the formation energy is -359 meV/atom.

=====

Record 3
An optimized crystal structure of Tl3ReO, computed with GGA-PBE.

It has space group Pm-3m (No. 221), with a = 4.840 Å, b = 4.840 Å, c = 4.840 Å, α = 90.00°, β = 90.00° and γ = 90.00°. Symmetry generates all atoms from Tl at (0.000, 0.000, 0.500), Re at (0.500, 0.500, 0.500) and O at (0.000, 0.000, 0.000).

For the density of states at the Fermi level, the calculation gives 0.66 states/eV per atom. The uncorrected formation energy comes out at 905 meV/atom. The energy above the most stable polymorph in this dataset is 0 kJ/mol of formula units. The total DFT energy (no corrections) is -3.996 eV/atom.